Computed, not measured: a geometry-optimized SrCo2As2O8 structure at the PBE+U level of DFT.

The structure in extended XYZ format:
```
26
Lattice="5.5171 0.0000 0.0000 -0.6562 7.1811 0.0000 -1.7592 -3.4698 8.9733" Properties=species:S:1:pos:R:3 pbc="T T T"
Sr 0.6896 1.8290 0.1131
Sr 2.4121 1.8823 8.8602
Co -0.5063 0.0412 3.6962
Co 0.8540 3.0458 3.8975
Co 2.2478 0.6655 5.0757
Co 3.6081 3.6701 5.2771
As -0.3097 1.7434 7.0270
As 1.4486 5.8169 2.2603
As 1.6532 -2.1056 6.7129
As 3.4115 1.9679 1.9463
O -0.4360 1.5138 2.4914
O -0.7254 3.9698 4.0553
O -0.8504 0.4241 7.9697
O -0.0156 -2.5097 6.8293
O 0.6343 6.4219 0.8787
O 0.4864 1.4984 5.1006
O 1.3392 -0.5939 3.6407
O 1.3011 4.0795 2.3520
O 1.8006 -0.3682 6.6212
O 1.7626 4.3052 5.3326
O 2.6154 2.2129 3.8726
O 2.4674 -2.7106 8.0945
O 3.1173 6.2210 2.1440
O 3.9522 3.2872 1.0036
O 3.8272 -0.2585 4.9180
O 3.5377 2.1975 6.4818
```

Output
**Crystal system**: triclinic
**E above lowest polymorph**: 0.2392 eV per atom